The following is a DFT calculation (GGA-PBE) of a relaxed K2AcIrO6 crystal.

Computed properties:
D(E_F) ... 0.5900 states/eV per atom
Total DFT energy (no corrections) ... -122.641 eV for the cell shown
Space-group type ... P2_1/c, No. 14
Formation energy from raw total energies ... -16.41 eV/f.u.

Unit cell a=6.182 b=6.171 c=10.694 alpha=90.00 beta=125.28 gamma=90.00
Sites, in units of the cell vectors:
K1 0.249 0.001 0.250
K2 0.249 0.499 0.750
K3 0.751 0.501 0.250
K4 0.751 0.999 0.750
Ac1 0.500 0.000 0.000
Ac2 0.500 0.500 0.500
Ir1 0.000 0.000 0.500
Ir2 0.000 0.500 0.000
O1 0.206 0.225 0.492
O2 0.206 0.275 0.992
O3 0.216 0.715 0.992
O4 0.216 0.785 0.492
O5 0.236 0.000 0.720
O6 0.236 0.500 0.220
O7 0.764 0.000 0.280
O8 0.764 0.500 0.780
O9 0.784 0.215 0.508
O10 0.784 0.285 0.008
O11 0.794 0.725 0.008
O12 0.794 0.775 0.508